Record 1
! MnTe2N2 (GGA-PBEsol, relaxed); values from VASP
&SYSTEM
  ibrav = 0, nat = 5, ntyp = 3
/
ATOMIC_SPECIES
Mn 54.94 Mn.upf
Te 127.60 Te.upf
N 14.01 N.upf
CELL_PARAMETERS angstrom
4.9059 0.0000 0.0000
0.0000 4.9059 0.0000
0.0000 0.0000 3.3693
ATOMIC_POSITIONS crystal
Mn 0.0000 0.0000 0.0000
Te 0.0000 0.5000 0.0000
Te 0.5000 0.0000 0.0000
N 0.0000 0.0000 0.5000
N 0.5000 0.5000 0.5000
! Distance to the lowest polymorph of the same formula, meV/atom: 0
! Space-group type: No. 123
! Uncorrected formation energy, eV per atom: 0.96

***

Record 2
! MnTe2N2 (GGA-PBEsol, relaxed); values from VASP
&SYSTEM
  ibrav = 0, nat = 5, ntyp = 3
/
ATOMIC_SPECIES
Mn 54.94 Mn.upf
Te 127.60 Te.upf
N 14.01 N.upf
CELL_PARAMETERS angstrom
-1.8965 1.8965 5.6100
1.8965 -1.8965 5.6100
1.8965 1.8965 -5.6100
ATOMIC_POSITIONS crystal
Mn 0.0000 0.0000 0.0000
Te 0.3509 0.3509 0.0000
Te 0.6491 0.6491 0.0000
N 0.2500 0.7500 0.5000
N 0.7500 0.2500 0.5000
! Distance to the lowest polymorph of the same formula, meV/atom: 189
! Space-group type: No. 139
! Uncorrected formation energy, eV per atom: 1.15

***

Record 3
! MnTe3N (GGA-PBEsol, relaxed); values from VASP
&SYSTEM
  ibrav = 0, nat = 5, ntyp = 3
/
ATOMIC_SPECIES
Mn 54.94 Mn.upf
Te 127.60 Te.upf
N 14.01 N.upf
CELL_PARAMETERS angstrom
5.1218 0.0000 0.0000
0.0000 5.1218 0.0000
0.0000 0.0000 5.1218
ATOMIC_POSITIONS crystal
Mn 0.0000 0.0000 0.0000
Te 0.0000 0.0000 0.5000
Te 0.0000 0.5000 0.0000
Te 0.5000 0.0000 0.0000
N 0.5000 0.5000 0.5000
! Space-group type: No. 221
! Uncorrected formation energy, eV per atom: 1.30